DFT (GGA-PBE) results for an optimized crystal structure of TaNb2Au.

## Properties
**Size of the total moment**: 0.000 μB/f.u.
**DOS(E_F)**: 3.09 states/eV per cell
**Uncorrected energy**: -34.97 eV per cell
**Calculated formation energy**: 0.075 eV per atom
**SG**: No. 225

Cell: 4.679 4.679 4.679 Å, 60.00 60.00 60.00°
Sites, in units of the cell vectors:
Nb  0.250  0.250  0.250
Nb  0.750  0.750  0.750
Ta  0.000  0.000  0.000
Au  0.500  0.500  0.500



DFT (GGA-PBE) results for an optimized crystal structure of TaNb2Au.

## Properties
**Size of the total moment**: 0.000 μB/f.u.
**DOS(E_F)**: 4.96 states/eV per cell
**Uncorrected energy**: -34.44 eV per cell
**Calculated formation energy**: 0.207 eV per atom
**SG**: No. 166

Cell: 3.154 3.154 8.965 Å, 79.87 79.87 60.00°
Sites, in units of the cell vectors:
Au  0.500  0.500  0.500
Nb  0.253  0.253  0.242
Nb  0.747  0.747  0.758
Ta  0.000  0.000  0.000



DFT (GGA-PBE) results for an optimized crystal structure of TaNb2Au.

## Properties
**Size of the total moment**: 0.000 μB/f.u.
**DOS(E_F)**: 4.77 states/eV per cell
**Uncorrected energy**: -66.52 eV per cell
**Calculated formation energy**: 0.502 eV per atom
**SG**: No. 122

Cell: 3.945 3.945 10.400 Å, 79.07 79.07 90.00°
Sites, in units of the cell vectors:
Ta  0.250  0.750  0.500
Ta  0.500  0.500  0.000
Nb  0.615  0.125  0.250
Nb  0.875  0.865  0.750
Nb  0.375  0.385  0.750
Nb  0.135  0.625  0.250
Au  0.000  0.000  0.000
Au  0.750  0.250  0.500



DFT (GGA-PBE) results for an optimized crystal structure of TaNb2Au.

## Properties
**Size of the total moment**: 0.000 μB/f.u.
**DOS(E_F)**: 3.43 states/eV per cell
**Uncorrected energy**: -35.52 eV per cell
**Calculated formation energy**: -0.063 eV per atom
**SG**: No. 99

Cell: 3.405 3.405 6.251 Å, 90.00 90.00 90.00°
Sites, in units of the cell vectors:
Ta  0.500  0.500  0.761
Nb  0.500  0.500  0.237
Nb  0.000  0.000  0.000
Au  0.000  0.000  0.502



DFT (GGA-PBE) results for an optimized crystal structure of Ta3Nb2Au.

## Properties
**Size of the total moment**: 0.000 μB/f.u.
**DOS(E_F)**: 5.08 states/eV per cell
**Uncorrected energy**: -59.16 eV per cell
**Calculated formation energy**: -0.031 eV per atom
**SG**: No. 123

Cell: 3.370 3.370 9.600 Å, 90.00 90.00 90.00°
Sites, in units of the cell vectors:
Ta  0.000  0.000  0.674
Ta  0.000  0.000  0.000
Ta  0.000  0.000  0.326
Nb  0.500  0.500  0.171
Nb  0.500  0.500  0.829
Au  0.500  0.500  0.500



DFT (GGA-PBE) results for an optimized crystal structure of Ta5Nb2Au2.

## Properties
**Size of the total moment**: 0.000 μB/f.u.
**DOS(E_F)**: 11.80 states/eV per cell
**Uncorrected energy**: -85.09 eV per cell
**Calculated formation energy**: 0.096 eV per atom
**SG**: No. 12

Cell: 5.488 5.488 8.683 Å, 57.32 57.32 50.95°
Sites, in units of the cell vectors:
Ta  0.442  0.442  0.218
Ta  0.109  0.109  0.560
Ta  0.558  0.558  0.782
Ta  0.000  0.000  0.000
Ta  0.891  0.891  0.440
Au  0.332  0.332  0.672
Au  0.668  0.668  0.328
Nb  0.218  0.218  0.111
Nb  0.782  0.782  0.889



DFT (GGA-PBE) results for an optimized crystal structure of Ta6Nb2Au.

## Properties
**Size of the total moment**: 0.000 μB/f.u.
**DOS(E_F)**: 8.21 states/eV per cell
**Uncorrected energy**: -94.70 eV per cell
**Calculated formation energy**: -0.019 eV per atom
**SG**: No. 12

Cell: 4.695 5.481 10.916 Å, 141.69 102.46 89.95°
Sites, in units of the cell vectors:
Ta  0.443  0.541  0.886
Ta  0.557  0.459  0.114
Ta  0.335  0.674  0.670
Ta  0.225  0.793  0.451
Ta  0.665  0.326  0.330
Ta  0.775  0.207  0.549
Au  0.000  0.000  0.000
Nb  0.113  0.894  0.227
Nb  0.887  0.106  0.773



DFT (GGA-PBE) results for an optimized crystal structure of Ta2Nb2Au.

## Properties
**Size of the total moment**: 0.000 μB/f.u.
**DOS(E_F)**: 7.36 states/eV per cell
**Uncorrected energy**: -43.40 eV per cell
**Calculated formation energy**: 0.744 eV per atom
**SG**: No. 139

Cell: 3.767 3.767 7.479 Å, 75.41 75.41 90.00°
Sites, in units of the cell vectors:
Ta  0.409  0.409  0.181
Ta  0.591  0.591  0.819
Nb  0.250  0.750  0.500
Nb  0.750  0.250  0.500
Au  0.000  0.000  0.000



DFT (GGA-PBE) results for an optimized crystal structure of Ta2NbAu.

## Properties
**Size of the total moment**: 0.000 μB/f.u.
**DOS(E_F)**: 3.42 states/eV per cell
**Uncorrected energy**: -36.97 eV per cell
**Calculated formation energy**: 0.021 eV per atom
**SG**: No. 10

Cell: 2.801 4.726 7.230 Å, 90.00 131.18 90.00°
Sites, in units of the cell vectors:
Ta  0.965  0.000  0.988
Ta  0.535  0.000  0.512
Au  0.750  0.500  0.250
Nb  0.250  0.500  0.750



DFT (GGA-PBE) results for an optimized crystal structure of TaNbAu2.

## Properties
**Size of the total moment**: 0.000 μB/f.u.
**DOS(E_F)**: 5.50 states/eV per cell
**Uncorrected energy**: -57.79 eV per cell
**Calculated formation energy**: -0.104 eV per atom
**SG**: No. 51

Cell: 3.744 4.331 8.895 Å, 89.95 90.00 90.00°
Sites, in units of the cell vectors:
Au  0.750  0.001  0.130
Au  0.750  0.499  0.868
Au  0.250  0.501  0.132
Au  0.250  0.999  0.870
Nb  0.750  0.000  0.626
Nb  0.250  0.000  0.374
Ta  0.750  0.500  0.374
Ta  0.250  0.500  0.626



DFT (GGA-PBE) results for an optimized crystal structure of TaNb4Au.

## Properties
**Size of the total moment**: 0.000 μB/f.u.
**DOS(E_F)**: 7.02 states/eV per cell
**Uncorrected energy**: -55.58 eV per cell
**Calculated formation energy**: -0.029 eV per atom
**SG**: No. 10

Cell: 2.786 5.541 8.141 Å, 89.88 90.28 120.18°
Sites, in units of the cell vectors:
Nb  0.662  0.001  0.166
Nb  0.136  0.501  0.672
Nb  0.332  0.001  0.838
Nb  0.859  0.501  0.331
Ta  0.497  0.501  0.002
Au  0.997  0.001  0.502



DFT (GGA-PBE) results for an optimized crystal structure of Ta4Nb3Au2.

## Properties
**Size of the total moment**: 0.000 μB/f.u.
**DOS(E_F)**: 8.44 states/eV per cell
**Uncorrected energy**: -84.30 eV per cell
**Calculated formation energy**: -0.013 eV per atom
**SG**: No. 12

Cell: 3.496 5.377 9.599 Å, 73.85 90.00 108.97°
Sites, in units of the cell vectors:
Nb  0.337  0.674  0.551
Nb  0.663  0.326  0.449
Nb  0.000  0.000  0.000
Ta  0.662  0.324  0.105
Ta  0.338  0.676  0.895
Ta  0.995  0.989  0.665
Ta  0.005  0.011  0.335
Au  0.672  0.344  0.772
Au  0.328  0.656  0.228



Copy entry 7 word for word.
DFT (GGA-PBE) results for an optimized crystal structure of Ta6Nb2Au.

## Properties
**Size of the total moment**: 0.000 μB/f.u.
**DOS(E_F)**: 8.21 states/eV per cell
**Uncorrected energy**: -94.70 eV per cell
**Calculated formation energy**: -0.019 eV per atom
**SG**: No. 12

Cell: 4.695 5.481 10.916 Å, 141.69 102.46 89.95°
Sites, in units of the cell vectors:
Ta  0.443  0.541  0.886
Ta  0.557  0.459  0.114
Ta  0.335  0.674  0.670
Ta  0.225  0.793  0.451
Ta  0.665  0.326  0.330
Ta  0.775  0.207  0.549
Au  0.000  0.000  0.000
Nb  0.113  0.894  0.227
Nb  0.887  0.106  0.773



Which value of uncorrected energy does entry 10 give?
-57.79 eV per cell



Which of these has the highest uncorrected energy?
number 2



Among the records above, which one has the lowest uncorrected energy?
Ta6Nb2Au